Computed, not measured: crystalline ZrBeN2F at its relaxed geometry at the PBE level of DFT.

## Properties
- offset from the most stable computed form (eV per atom) = 0.9196
- uncorrected formation energy (eV/atom) = -0.0985
- E_tot (eV/cell) = -31.29
- symmetry = No. 123

Lattice parameters (Å, degrees): 4.229 4.229 4.071 90.00 90.00 90.00
Each line ends with the local moment (μB).
Sites, in units of the cell vectors:
F: 0.000 0.000 0.500  0.00
Zr: 0.000 0.000 0.000  -0.02
Be: 0.500 0.500 0.500  0.01
N: 0.500 0.000 0.000  -0.08
N: 0.000 0.500 0.000  -0.08